## GaCuSi2Bi (PBEsol)

Data for crystalline GaCuSi2Bi at its relaxed geometry.

Structure (POSCAR):
```
GaCuSi2Bi
1.0
4.6065 0.0000 0.0000
0.0000 4.6065 0.0000
0.0000 0.0000 4.6618
Si Cu Bi Ga
2 1 1 1
direct
0.0000 0.5000 0.0000 Si
0.5000 0.0000 0.0000 Si
0.0000 0.0000 0.0000 Cu
0.5000 0.5000 0.5000 Bi
0.0000 0.0000 0.5000 Ga
```

Summary:
Its total moment is 0.000 μB/f.u. For the total DFT energy (no corrections), the calculation gives -4.276 eV/atom. Its crystal system is tetragonal. Its density of states at the Fermi level is 2.2 states/eV/cell.